# 1
Crystalline HoCd12Au6 at its relaxed geometry. Source: Alexandria via LeMat-Bulk, functional PBE-GGA.

Total DFT energy (no corrections) ... -37.58 eV per cell

a b c (Å): 7.944 7.944 7.944
angles (deg): 105.99 105.99 105.99
Element x y z (fractional)
Ho (0.000, 0.000, 0.000)
Cd (0.886, 0.114, 0.500)
Cd (0.870, 0.624, 0.624)
Cd (0.624, 0.624, 0.870)
Cd (0.376, 0.130, 0.376)
Cd (0.376, 0.376, 0.130)
Cd (0.130, 0.376, 0.376)
Cd (0.114, 0.500, 0.886)
Cd (0.500, 0.886, 0.114)
Cd (0.114, 0.886, 0.500)
Cd (0.886, 0.500, 0.114)
Cd (0.500, 0.114, 0.886)
Cd (0.624, 0.870, 0.624)
Au (0.706, 0.291, 0.291)
Au (0.291, 0.291, 0.706)
Au (0.291, 0.706, 0.291)
Au (0.709, 0.709, 0.294)
Au (0.294, 0.709, 0.709)
Au (0.709, 0.294, 0.709)

---

# 2
Crystalline HoCd2Au2 at its relaxed geometry. Source: Alexandria via LeMat-Bulk, functional PBE-GGA.

Energy above the lowest structure with this stoichiometry ... 11 meV/atom
Total DFT energy (no corrections) ... -30.52 eV per cell

a b c (Å): 4.812 4.852 10.046
angles (deg): 87.52 90.00 90.00
Element x y z (fractional)
Ho (0.750, 0.234, 0.675)
Ho (0.250, 0.766, 0.325)
Cd (0.750, 0.273, 0.008)
Cd (0.250, 0.743, 0.679)
Cd (0.250, 0.727, 0.992)
Cd (0.750, 0.257, 0.321)
Au (0.250, 0.253, 0.489)
Au (0.750, 0.765, 0.157)
Au (0.250, 0.235, 0.843)
Au (0.750, 0.747, 0.511)

---

# 3
Crystalline Ho3Cd2Au at its relaxed geometry. Source: Alexandria via LeMat-Bulk, functional PBE-GGA.

Energy above the lowest structure with this stoichiometry ... 15 meV/atom
Total DFT energy (no corrections) ... -21.79 eV per cell

a b c (Å): 5.188 5.188 6.379
angles (deg): 90.00 90.00 120.00
Element x y z (fractional)
Ho (0.000, 0.000, 0.500)
Ho (0.667, 0.333, 0.851)
Ho (0.333, 0.667, 0.149)
Cd (0.667, 0.333, 0.353)
Cd (0.333, 0.667, 0.647)
Au (0.000, 0.000, 0.000)

---

The records above yield density of states at the Fermi level values of 5.10; 6.31; 3.88 states/eV per cell, respectively.